Below is a relaxed SrFeHg3 crystal, with properties calculated at the PBE-GGA level.

Output
magnetic moment	3.1	Bohr magnetons per cell
uncorrected energy	-6.3	eV per cell
space-group type	No. 221
E above lowest polymorph	976	meV per atom

```
SrFeHg3
1.0
6.2354 0.0000 0.0000
0.0000 6.2354 0.0000
0.0000 0.0000 6.2354
Sr Fe Hg
1 1 3
direct
0.0000 0.0000 0.0000
0.5000 0.5000 0.5000
0.0000 0.0000 0.5000
0.0000 0.5000 0.0000
0.5000 0.0000 0.0000
```